# 1
# FeH4Br3N

A geometry-optimized FeH4Br3N structure (PBE, the Alexandria database).

Geometry as POSCAR:
```
FeH4Br3N
1.0
-7.473 1.379 1.276
2.385 -2.113 -7.016
-0.851 -6.023 1.524
Fe H Br N
2 8 6 2
direct
0.000 0.000 0.038 Fe
0.000 0.000 0.538 Fe
0.333 0.667 0.050 H
0.323 0.533 0.266 H
0.210 0.677 0.266 H
0.467 0.790 0.266 H
0.667 0.333 0.550 H
0.677 0.467 0.766 H
0.790 0.323 0.766 H
0.533 0.210 0.766 H
0.782 0.091 0.290 Br
0.309 0.218 0.290 Br
0.909 0.691 0.290 Br
0.218 0.909 0.790 Br
0.691 0.782 0.790 Br
0.091 0.309 0.790 Br
0.333 0.667 0.215 N
0.667 0.333 0.715 N
```

Properties
SG ... P6_3

=====

# 2
# FeH4Br3N

A geometry-optimized FeH4Br3N structure (PBE, the Alexandria database).

Geometry as POSCAR:
```
FeH4Br3N
1.0
7.715 -0.172 0.148
0.137 6.210 0.240
-7.955 -0.342 13.223
H Fe Br N
16 4 12 4
direct
0.001 0.846 0.059 H
0.745 0.845 0.988 H
0.866 0.057 0.061 H
0.859 0.828 0.116 H
0.875 0.838 0.623 H
0.020 0.826 0.567 H
0.880 0.044 0.553 H
0.764 0.817 0.495 H
0.325 0.315 0.454 H
0.208 0.543 0.397 H
0.069 0.324 0.383 H
0.214 0.338 0.327 H
0.220 0.558 0.889 H
0.228 0.331 0.833 H
0.085 0.346 0.889 H
0.341 0.344 0.961 H
0.539 0.592 0.225 Fe
0.545 0.536 0.723 Fe
0.543 0.035 0.227 Fe
0.549 0.093 0.725 Fe
0.629 0.312 0.119 Br
0.457 0.814 0.830 Br
0.449 0.810 0.339 Br
0.639 0.311 0.611 Br
0.316 0.816 0.066 Br
0.771 0.317 0.883 Br
0.755 0.306 0.376 Br
0.333 0.807 0.574 Br
0.242 0.314 0.182 Br
0.846 0.815 0.768 Br
0.859 0.809 0.272 Br
0.228 0.311 0.677 Br
0.868 0.892 0.056 N
0.885 0.879 0.560 N
0.204 0.377 0.390 N
0.219 0.392 0.893 N
```

Properties
SG ... P1

=====

no.,total DFT energy (no corrections) (eV per atom),magnetic moment (μB per formula unit)
1,-4.428,4.00
2,-4.432,4.00